Density functional theory data (PBE with a Hubbard U) for crystalline MnAs2F12 at its relaxed geometry.

Summary:
size of the total moment	5.00	μB/f.u.
final energy	-4.83	eV/atom
crystal system	tetragonal
symmetry	I-42d

a = 9.4874 Å, b = 9.4874 Å, c = 9.4874 Å
α = 132.50°, β = 132.50°, γ = 69.44°
With the nearest neighbours (Å) after each atom.
Atoms (fractional coordinates):
As  0.2197  0.2197  0.0000  6 F 1.73-1.82
F  0.0967  0.2858  0.1148  1 As 1.79
F  0.6533  0.2681  0.6891  1 As 1.79
F  0.5790  0.9642  0.3109  1 As 1.79
F  0.1710  0.9819  0.8852  1 As 1.79
F  0.7240  0.0131  0.1714  1 As 1.82
F  0.9869  0.1583  0.7109  1 As 1.82
F  0.3026  0.0917  0.3286  1 As 1.82
F  0.3351  0.1324  0.8788  1 As 1.73
F  0.0358  0.3467  0.6148  1 As 1.79
F  0.8676  0.7464  0.2026  1 As 1.73
F  0.7631  0.9740  0.6714  1 As 1.82
As  0.7803  0.7803  0.0000  6 F 1.73-1.82
F  0.9083  0.2369  0.2109  1 As 1.82
F  0.4149  0.7938  0.2974  1 As 1.73
F  0.7319  0.4210  0.3852  1 As 1.79
As  0.5303  0.0303  0.5000  6 F 1.73-1.82
F  0.5438  0.6649  0.7974  1 As 1.73
As  0.9697  0.4697  0.5000  6 F 1.73-1.82
F  0.0260  0.6974  0.7891  1 As 1.82
F  0.0181  0.9033  0.1891  1 As 1.79
F  0.8824  0.5851  0.3788  1 As 1.73
F  0.7142  0.8290  0.8109  1 As 1.79
Mn  0.0000  0.0000  0.0000  8 F 2.17-2.41
F  0.4964  0.1176  0.7026  1 As 1.73
F  0.8417  0.5526  0.8286  1 As 1.82
F  0.4474  0.2760  0.2891  1 As 1.82
Mn  0.7500  0.2500  0.5000  8 F 2.17-2.41
F  0.2536  0.4562  0.1212  1 As 1.73
F  0.2062  0.5036  0.6212  1 As 1.73